DFT (GGA-PBE) results for crystalline BaCr2RhBr at its relaxed geometry.

The structure in CIF format:
```
data_BaCr2RhBr
_chemical_formula_sum 'Ba1 Cr2 Rh1 Br1'
_space_group_name_H-M_alt 'P 4/m m m'
_space_group_IT_number 123
_space_group_name_Hall '-P 4 2'
_cell_length_a 4.9804
_cell_length_b 4.9804
_cell_length_c 5.0668
_cell_angle_alpha 90.00
_cell_angle_beta 90.00
_cell_angle_gamma 90.00
loop_
_atom_site_label
_atom_site_type_symbol
_atom_site_fract_x
_atom_site_fract_y
_atom_site_fract_z
_atom_site_occupancy
Ba1 Ba 0.0000 0.0000 0.0000 1
Cr1 Cr 0.0000 0.5000 0.5000 1
Rh1 Rh 0.5000 0.5000 0.0000 1
Br1 Br 0.5000 0.5000 0.5000 1
```

Output
Its uncorrected formation energy is 0.755 eV/atom. Its size of the total moment is 1.7236 μB/atom. The calculation puts the total energy at -26.42 eV for the cell shown. As for the crystal system: tetragonal.